1.
## RbInFeSe3 (PBE-GGA)

Data for an optimized crystal structure of RbInFeSe3.

abc: 9.441 3.986 9.865
angles: 90.00 109.57 90.00
Each line ends with the local moment (μB).
Fractional positions:
Fe1 0.071 0.250 0.083  3.12
Fe2 0.929 0.750 0.917  3.12
In1 0.340 0.750 0.368  0.01
In2 0.660 0.250 0.632  0.01
Rb1 0.794 0.750 0.262  0.00
Rb2 0.206 0.250 0.738  0.00
Se1 0.204 0.750 0.037  0.13
Se2 0.531 0.250 0.339  0.02
Se3 0.126 0.250 0.345  0.09
Se4 0.874 0.750 0.655  0.09
Se5 0.469 0.750 0.661  0.02
Se6 0.796 0.250 0.963  0.13

Properties
DFT total energy	-52.49	eV per cell
total moment	7.5	μB/cell
V	349.8	Å³/cell

***

2.
## YThCu (PBE-GGA)

Data for an optimized crystal structure of YThCu.

abc: 4.882 4.882 4.882
angles: 60.00 60.00 60.00
Fractional positions:
Cu1 0.000 0.000 0.000
Th1 0.250 0.250 0.250
Y1 0.750 0.750 0.750

Properties
energy relative to the elements	0.185	eV/atom
total moment	0.2	μB/cell
V	82.3	Å³/cell

***

3.
## Tb2ErIn3CuGe2 (PBE-GGA)

Data for an optimized crystal structure of Tb2ErIn3CuGe2.

abc: 4.234 7.385 7.385
angles: 119.91 90.00 90.00
Fractional positions:
Cu1 0.000 0.002 0.002
Er1 0.000 0.404 0.404
Ge1 0.500 0.665 0.334
Ge2 0.500 0.334 0.665
In1 0.500 0.243 0.000
In2 0.500 0.000 0.243
In3 0.500 0.757 0.757
Tb1 0.000 0.999 0.596
Tb2 0.000 0.596 0.999

Properties
DFT total energy	-39.93	eV per cell
total moment	0.0	μB/cell
V	200.1	Å³/cell

***

4.
## LaGaPdPt (PBE-GGA)

Data for an optimized crystal structure of LaGaPdPt.

abc: 4.461 4.461 9.659
angles: 90.00 90.00 120.00
Fractional positions:
Ga1 0.000 0.000 0.246
Ga2 0.000 0.000 0.754
La1 0.667 0.333 0.000
La2 0.333 0.667 0.500
Pd1 0.667 0.333 0.328
Pd2 0.667 0.333 0.672
Pt1 0.333 0.667 0.185
Pt2 0.333 0.667 0.815

Properties
DFT total energy	-45.96	eV per cell
total moment	0.0	μB/cell
V	166.5	Å³/cell

***

5.
## PdNF (PBE-GGA)

Data for an optimized crystal structure of PdNF.

abc: 3.330 3.330 8.635
angles: 100.91 100.91 54.86
Fractional positions:
F1 0.378 0.378 0.118
F2 0.622 0.622 0.882
N1 0.477 0.477 0.427
N2 0.523 0.523 0.573
Pd1 0.930 0.930 0.281
Pd2 0.070 0.070 0.719

Properties
DFT total energy	-33.21	eV per cell
V	76.5	Å³/cell

***

6.
## PrGdCu2As2P2 (PBE-GGA)

Data for an optimized crystal structure of PrGdCu2As2P2.

abc: 3.873 3.873 9.994
angles: 90.00 90.00 90.00
Fractional positions:
As1 0.500 0.000 0.007
As2 0.000 0.500 0.007
Cu1 0.500 0.000 0.496
Cu2 0.000 0.500 0.496
Gd1 0.000 0.000 0.246
P1 0.500 0.500 0.349
P2 0.000 0.000 0.641
Pr1 0.500 0.500 0.758

Properties
DFT total energy	-44.06	eV per cell
total moment	0.0	μB/cell
V	149.9	Å³/cell

***

7.
## LiMg2Au (PBE-GGA)

Data for an optimized crystal structure of LiMg2Au.

abc: 5.564 8.206 7.270
angles: 90.00 90.00 90.00
Fractional positions:
Au1 0.936 0.750 0.129
Au2 0.436 0.250 0.371
Au3 0.564 0.750 0.629
Au4 0.064 0.250 0.871
Li1 0.612 0.250 0.030
Li2 0.112 0.750 0.470
Li3 0.888 0.250 0.530
Li4 0.388 0.750 0.970
Mg1 0.142 0.054 0.170
Mg2 0.142 0.446 0.170
Mg3 0.642 0.554 0.330
Mg4 0.642 0.946 0.330
Mg5 0.358 0.054 0.670
Mg6 0.358 0.446 0.670
Mg7 0.858 0.554 0.830
Mg8 0.858 0.946 0.830

Properties
DFT total energy	-39.30	eV per cell
V	331.9	Å³/cell

***

8.
## CsSmGeSe4 (PBE-GGA)

Data for an optimized crystal structure of CsSmGeSe4.

abc: 6.838 7.150 18.725
angles: 90.00 90.00 90.00
Fractional positions:
Cs1 0.496 0.993 0.031
Cs2 0.504 0.493 0.469
Cs3 0.004 0.007 0.531
Cs4 0.996 0.507 0.969
Ge1 0.710 0.483 0.166
Ge2 0.290 0.983 0.334
Ge3 0.790 0.517 0.666
Ge4 0.210 0.017 0.834
Se1 0.435 0.486 0.090
Se2 0.946 0.242 0.145
Se3 0.905 0.759 0.152
Se4 0.400 0.915 0.217
Se5 0.600 0.415 0.283
Se6 0.095 0.259 0.348
Se7 0.054 0.742 0.355
Se8 0.565 0.986 0.410
Se9 0.065 0.514 0.590
Se10 0.554 0.758 0.645
Se11 0.595 0.241 0.652
Se12 0.100 0.085 0.717
Se13 0.900 0.585 0.783
Se14 0.405 0.741 0.848
Se15 0.446 0.258 0.855
Se16 0.935 0.014 0.910
Sm1 0.206 0.519 0.227
Sm2 0.794 0.019 0.273
Sm3 0.294 0.481 0.727
Sm4 0.706 0.981 0.773

Properties
DFT total energy	-129.35	eV per cell
total moment	0.0	μB/cell
V	915.5	Å³/cell

***

9.
## KRb3Sb2Au2 (PBE-GGA)

Data for an optimized crystal structure of KRb3Sb2Au2.

abc: 6.747 6.936 6.853
angles: 90.00 107.93 90.00
Fractional positions:
Au1 0.001 0.249 0.996
Au2 0.001 0.751 0.996
K1 0.836 0.000 0.502
Rb1 0.506 0.500 0.163
Rb2 0.164 0.500 0.500
Rb3 0.495 0.000 0.839
Sb1 0.251 0.000 0.262
Sb2 0.746 0.500 0.741

Properties
DFT total energy	-22.81	eV per cell
V	305.1	Å³/cell

***

10.
## RbPrHgS3 (PBE-GGA)

Data for an optimized crystal structure of RbPrHgS3.

abc: 9.283 9.283 9.103
angles: 103.05 103.05 26.47
Fractional positions:
Hg1 0.516 0.516 0.227
Hg2 0.484 0.484 0.773
Pr1 0.169 0.169 0.080
Pr2 0.831 0.831 0.920
Rb1 0.857 0.857 0.428
Rb2 0.143 0.143 0.572
S1 0.000 0.000 0.000
S2 0.330 0.330 0.130
S3 0.665 0.665 0.288
S4 0.500 0.500 0.500
S5 0.335 0.335 0.712
S6 0.670 0.670 0.870

Properties
DFT total energy	-50.65	eV per cell
total moment	0.0	μB/cell
V	340.1	Å³/cell

***

11.
## TmAl3 (PBE-GGA)

Data for an optimized crystal structure of TmAl3.

abc: 4.810 4.810 4.810
angles: 60.00 60.00 60.00
Fractional positions:
Al1 0.000 0.000 0.000
Al2 0.250 0.250 0.250
Al3 0.500 0.500 0.500
Tm1 0.750 0.750 0.750

Properties
DFT total energy	-16.03	eV per cell
total moment	0.0	μB/cell
V	78.7	Å³/cell

***

12.
## CuAgHgPb (PBE-GGA)

Data for an optimized crystal structure of CuAgHgPb.

abc: 4.934 4.934 4.934
angles: 60.00 60.00 60.00
Fractional positions:
Ag1 0.500 0.500 0.500
Cu1 0.750 0.750 0.750
Hg1 0.250 0.250 0.250
Pb1 0.000 0.000 0.000

Properties
DFT total energy	-9.44	eV per cell
V	84.9	Å³/cell

***

13.
## LuBeCuSn (PBE-GGA)

Data for an optimized crystal structure of LuBeCuSn.

abc: 4.672 4.672 4.672
angles: 60.00 60.00 60.00
Fractional positions:
Be1 0.500 0.500 0.500
Cu1 0.750 0.750 0.750
Lu1 0.250 0.250 0.250
Sn1 0.000 0.000 0.000

Properties
DFT total energy	-15.53	eV per cell
total moment	0.0	μB/cell
V	72.1	Å³/cell

***

14.
## TmZrFe2Si2C (PBE-GGA)

Data for an optimized crystal structure of TmZrFe2Si2C.

abc: 5.480 5.480 6.550
angles: 125.78 125.78 40.52
Fractional positions:
C1 0.497 0.497 0.489
Fe1 0.296 0.296 0.405
Fe2 0.705 0.705 0.598
Si1 0.656 0.656 0.203
Si2 0.346 0.346 0.804
Tm1 0.062 0.062 0.793
Zr1 0.939 0.939 0.208

Properties
DFT total energy	-54.56	eV per cell
total moment	0.0	μB/cell
V	99.9	Å³/cell

***

15.
## Tb2AgPd2 (PBE-GGA)

Data for an optimized crystal structure of Tb2AgPd2.

abc: 7.603 7.603 3.758
angles: 90.00 90.00 90.00
Fractional positions:
Ag1 0.000 0.000 0.000
Ag2 0.500 0.500 0.000
Pd1 0.630 0.130 0.000
Pd2 0.130 0.370 0.000
Pd3 0.870 0.630 0.000
Pd4 0.370 0.870 0.000
Tb1 0.328 0.172 0.500
Tb2 0.828 0.328 0.500
Tb3 0.172 0.672 0.500
Tb4 0.672 0.828 0.500

Properties
energy relative to the elements	-0.755	eV/atom
total moment	0.0	μB/cell
V	217.2	Å³/cell

***

16.
## NaTaCd (PBE-GGA)

Data for an optimized crystal structure of NaTaCd.

abc: 4.719 4.719 4.719
angles: 60.00 60.00 60.00
Fractional positions:
Cd1 0.250 0.250 0.250
Na1 0.750 0.750 0.750
Ta1 0.000 0.000 0.000

Properties
DFT total energy	-9.42	eV per cell
total moment	0.0	μB/cell
V	74.3	Å³/cell

***

17.
## GeBPtAu (PBE-GGA)

Data for an optimized crystal structure of GeBPtAu.

abc: 4.363 4.363 4.363
angles: 60.00 60.00 60.00
Fractional positions:
Au1 0.750 0.750 0.750
B1 0.500 0.500 0.500
Ge1 0.000 0.000 0.000
Pt1 0.250 0.250 0.250

Properties
DFT total energy	-17.90	eV per cell
total moment	0.0	μB/cell
V	58.7	Å³/cell

***

18.
## KSnAuSe3 (PBE-GGA)

Data for an optimized crystal structure of KSnAuSe3.

abc: 10.688 8.469 8.469
angles: 27.47 90.00 90.00
Fractional positions:
Au1 0.000 0.119 0.119
Au2 0.500 0.881 0.881
K1 0.500 0.216 0.216
K2 0.000 0.784 0.784
Se1 0.227 0.119 0.119
Se2 0.773 0.119 0.119
Se3 0.000 0.449 0.449
Se4 0.500 0.551 0.551
Se5 0.273 0.881 0.881
Se6 0.727 0.881 0.881
Sn1 0.250 0.500 0.500
Sn2 0.750 0.500 0.500

Properties
DFT total energy	-43.29	eV per cell
V	353.6	Å³/cell

***

19.
## AlCu2Ni (PBE-GGA)

Data for an optimized crystal structure of AlCu2Ni.

abc: 4.156 5.059 4.543
angles: 90.00 90.00 90.00
Fractional positions:
Al1 0.500 0.000 0.347
Al2 0.000 0.500 0.653
Cu1 0.000 0.250 0.157
Cu2 0.000 0.750 0.157
Cu3 0.500 0.250 0.843
Cu4 0.500 0.750 0.843
Ni1 0.500 0.500 0.343
Ni2 0.000 0.000 0.657

Properties
DFT total energy	-35.77	eV per cell
total moment	0.0	μB/cell
V	95.5	Å³/cell

***

20.
## AlNi5N (PBE-GGA)

Data for an optimized crystal structure of AlNi5N.

abc: 3.441 3.441 6.125
angles: 90.00 90.00 90.00
Fractional positions:
Al1 0.000 0.000 0.000
N1 0.500 0.500 0.500
Ni1 0.500 0.500 0.000
Ni2 0.500 0.000 0.304
Ni3 0.000 0.500 0.304
Ni4 0.500 0.000 0.696
Ni5 0.000 0.500 0.696

Properties
DFT total energy	-40.58	eV per cell
total moment	0.0	μB/cell
V	72.5	Å³/cell

***

21.
## KLuPb (PBE-GGA)

Data for an optimized crystal structure of KLuPb.

abc: 5.463 5.463 5.463
angles: 60.00 60.00 60.00
Fractional positions:
K1 0.250 0.250 0.250
Lu1 0.750 0.750 0.750
Pb1 0.000 0.000 0.000

Properties
DFT total energy	-9.02	eV per cell
total moment	0.0	μB/cell
V	115.3	Å³/cell

***

22.
## ZnFeCoRe (PBE-GGA)

Data for an optimized crystal structure of ZnFeCoRe.

abc: 4.110 4.110 4.110
angles: 60.00 60.00 60.00
Each line ends with the local moment (μB).
Fractional positions:
Co1 0.750 0.750 0.750  1.18
Fe1 0.250 0.250 0.250  0.75
Re1 0.500 0.500 0.500  0.17
Zn1 0.000 0.000 0.000  -0.03

Properties
energy relative to the elements	0.140	eV/atom
total moment	2.1	μB/cell
V	49.1	Å³/cell

***

23.
## Co4BAs3 (PBE-GGA)

Data for an optimized crystal structure of Co4BAs3.

abc: 5.127 3.291 5.821
angles: 90.00 91.01 90.00
Fractional positions:
As1 0.317 0.500 0.077
As2 0.800 0.500 0.413
As3 0.201 0.000 0.597
B1 0.720 0.000 0.902
Co1 0.978 0.000 0.171
Co2 0.490 0.000 0.310
Co3 0.513 0.500 0.725
Co4 0.982 0.500 0.805

Properties
DFT total energy	-50.36	eV per cell
total moment	0.0	μB/cell
V	98.2	Å³/cell

***

24.
## DyTmCo2B2N2 (PBE-GGA)

Data for an optimized crystal structure of DyTmCo2B2N2.

abc: 3.456 3.456 7.427
angles: 90.00 90.00 90.00
Fractional positions:
B1 0.000 0.000 0.349
B2 0.500 0.500 0.651
Co1 0.500 0.000 0.499
Co2 0.000 0.500 0.499
Dy1 0.000 0.000 0.832
N1 0.000 0.000 0.146
N2 0.500 0.500 0.856
Tm1 0.500 0.500 0.167

Properties
DFT total energy	-62.22	eV per cell
total moment	0.0	μB/cell
V	88.7	Å³/cell